DFT (PBE-GGA) results for a geometry-optimized PaAsI structure.

Uncorrected formation energy: -0.63 eV per atom
Space group: Pnma, No. 62
Energy relative to the lowest polymorph listed for this composition: 219 meV/atom

Cell: 8.101 4.394 9.160 Å, 90.00 90.00 90.00°
Fractional positions:
Pa 0.202 0.250 0.125
Pa 0.298 0.750 0.625
Pa 0.702 0.250 0.375
Pa 0.798 0.750 0.875
As 0.150 0.750 0.926
As 0.350 0.250 0.426
As 0.650 0.750 0.574
As 0.850 0.250 0.074
I 0.024 0.750 0.345
I 0.476 0.250 0.845
I 0.524 0.750 0.155
I 0.976 0.250 0.655